Record 1
An optimized crystal structure of PaCoPb, computed with PBE.

Cell: 6.452 6.452 6.452 Å, 90.00 90.00 90.00°
Space group F-43m (No. 216)
Symmetry-distinct sites (fractional):
Pa 0.000 0.000 0.000 (multiplicity 4)
Co 0.250 0.250 0.750 (multiplicity 4)
Pb 0.000 0.000 0.500 (multiplicity 4)

Summary:
**Energy of formation from the pure elements**: -162 meV/atom
**VASP energy**: -6.9319 eV per atom

---

Record 2
An optimized crystal structure of CePrSn6, computed with PBE.

Cell: 4.754 4.754 9.516 Å, 90.00 90.00 90.00°
Space group P4/mmm (No. 123)
Symmetry-distinct sites (fractional):
Ce 0.000 0.000 0.000 (multiplicity 1)
Pr 0.000 0.000 0.500 (multiplicity 1)
Sn 0.000 0.500 0.246 (multiplicity 4)
Sn 0.500 0.500 0.000 (multiplicity 1)
Sn 0.500 0.500 0.500 (multiplicity 1)

Summary:
**Energy of formation from the pure elements**: -519 meV/atom
**VASP energy**: -4.8605 eV per atom

---

Record 3
An optimized crystal structure of MgV2N, computed with PBE.

Cell: 5.874 5.874 5.874 Å, 90.00 90.00 90.00°
Space group Fm-3m (No. 225)
Symmetry-distinct sites (fractional):
Mg 0.000 0.000 0.000 (multiplicity 4)
V 0.250 0.250 0.250 (multiplicity 8)
N 0.000 0.000 0.500 (multiplicity 4)

Summary:
**VASP energy**: -5.8058 eV per atom

---

- The highest VASP energy belongs to which entry?
  CePrSn6

---

- Which value of VASP energy does entry 1 give?
  -6.9319 eV per atom

---

- Which value of VASP energy does entry 2 give?
  -4.8605 eV per atom